# NbVAg2O6

NbVAg2O6 after structural relaxation (PBE+U, Alexandria).

* mass density: 5.580 g/cm³
* E: -0.2490 hartree per atom

Unit cell a=5.3075 b=5.3075 c=4.8125 alpha=90.00 beta=90.00 gamma=90.00
Space group P4mm (No. 99)
Unique sites:
Nb1 0.0000 0.0000 0.0000 [1 per cell]
V1 0.5000 0.5000 0.0022 [1 per cell]
Ag1 0.0000 0.5000 0.4723 [2 per cell]
O1 0.0000 0.0000 0.6193 [1 per cell]
O2 0.2575 0.2575 0.0983 [4 per cell]
O3 0.5000 0.5000 0.6534 [1 per cell]